[1]
A plane-wave DFT calculation with PBE-GGA was carried out for PmNi8Ge2 after structural relaxation. Values from VASP.

Properties
Energy of formation from the pure elements ... 1.38 eV/f.u.
Total magnetization ... 0.00 μB per cell
Volume ... 15.07 A^3/atom

Cell and atoms, written as Quantum ESPRESSO input:
```
&SYSTEM
  ibrav = 0, nat = 11, ntyp = 3
/
ATOMIC_SPECIES
Pm 145.00 Pm.upf
Ni 58.69 Ni.upf
Ge 72.64 Ge.upf
CELL_PARAMETERS angstrom
5.843 0.000 0.000
0.000 5.843 0.000
0.000 0.000 4.857
ATOMIC_POSITIONS crystal
Pm 0.500 0.500 0.500
Ni 0.798 0.798 0.254
Ni 0.798 0.202 0.746
Ni 0.798 0.798 0.746
Ni 0.798 0.202 0.254
Ni 0.202 0.798 0.254
Ni 0.202 0.798 0.746
Ni 0.202 0.202 0.254
Ni 0.202 0.202 0.746
Ge 0.500 0.000 0.000
Ge 0.000 0.500 0.000
```

---

[2]
A plane-wave DFT calculation with PBE-GGA was carried out for Mg3Si4 after structural relaxation. Values from VASP.

Properties
E_form (uncorrected) ... 112 meV/atom
Total magnetization ... 0.00 μB per cell
ΔE to the lowest computed polymorph ... 41 kJ/mol of formula units
Volume ... 19.10 A^3/atom

Cell and atoms, written as Quantum ESPRESSO input:
```
&SYSTEM
  ibrav = 0, nat = 14, ntyp = 2
/
ATOMIC_SPECIES
Mg 24.30 Mg.upf
Si 28.09 Si.upf
CELL_PARAMETERS angstrom
-4.492 0.160 -1.875
0.849 -2.010 -7.555
-0.801 -7.833 -1.667
ATOMIC_POSITIONS crystal
Mg 0.207 0.171 0.266
Mg 0.585 0.236 0.875
Mg 0.734 0.610 0.548
Mg 0.230 0.739 0.281
Mg 0.625 0.444 0.160
Mg 0.261 0.969 0.800
Si 0.189 0.684 0.688
Si 0.766 0.017 0.264
Si 0.802 0.258 0.524
Si 0.261 0.350 0.502
Si 0.024 0.392 0.889
Si 0.104 0.608 0.020
Si 0.758 0.935 0.597
Si 0.706 0.840 0.084
```

---

What is the volume in the second record?
19.10 A^3/atom

---

Which value of total magnetization does entry 1 give?
0.00 μB per cell

---

What is the formula in the first record?
PmNi8Ge2

---

total magnetization of number 2 (Mg3Si4)?
0.00 μB per cell